Record 1
The following is a DFT calculation (GGA-PBE) of an optimized crystal structure of NdZnHg.

abc: 4.7818 4.7818 4.7818
angles: 60.00 60.00 60.00
Closest atoms and distances in Å follow each position.
Element x y z (fractional)
Nd: 0.0000 0.0000 0.0000  4 Zn 2.93
Hg: 0.5000 0.5000 0.5000  4 Zn 2.93
Zn: 0.2500 0.2500 0.2500  4 Nd 2.93, 4 Hg 2.93

Calculated values
**DOS at the Fermi energy**: 4.07 states/eV/cell
**Formation enthalpy at 0 K**: -0.26 eV per atom
**Symmetry**: F-43m (216)
**Total magnetic moment**: 0.00 μB/f.u.
**DFT total energy**: -2.377 eV per atom

Record 2
The following is a DFT calculation (GGA-PBE) of an optimized crystal structure of VTe2Os.

abc: 8.7145 8.7145 8.7145
angles: 25.27 25.27 25.27
Closest atoms and distances in Å follow each position.
Element x y z (fractional)
Te: 0.8924 0.8924 0.8924  3 Os 2.66, 1 V 2.72
Os: 0.5000 0.5000 0.5000  6 Te 2.66
V: 0.0000 0.0000 0.0000  2 Te 2.72
Te: 0.1076 0.1076 0.1076  3 Os 2.66, 1 V 2.72

Calculated values
**DOS at the Fermi energy**: 4.23 states/eV/cell
**ΔE to the lowest computed polymorph**: 194.0 meV per atom
**Symmetry**: R-3m (166)
**Raw formation energy**: 0.682 eV/atom
**Total magnetic moment**: 3.29 μB/f.u.
**DFT total energy**: -5.976 eV per atom

Record 3
The following is a DFT calculation (GGA-PBE) of an optimized crystal structure of TbScGa2Pt5.

abc: 4.1258 4.1258 9.3684
angles: 90.00 90.00 90.00
Closest atoms and distances in Å follow each position.
Element x y z (fractional)
Ga: 0.5000 0.5000 0.8729  1 Ga 2.38, 4 Pt 2.47
Ga: 0.5000 0.5000 0.1271  1 Ga 2.38, 4 Pt 2.47
Pt: 0.5000 0.5000 0.5000  4 Tb 2.92, 8 Pt 2.96
Tb: 0.0000 0.0000 0.5000  12 Pt 2.92-2.96
Sc: 0.0000 0.0000 0.0000  8 Ga 3.15, 8 Pt 3.29
Pt: 0.0000 0.5000 0.7271  2 Ga 2.47
Pt: 0.0000 0.5000 0.2729  2 Ga 2.47
Pt: 0.5000 0.0000 0.2729  2 Ga 2.47
Pt: 0.5000 0.0000 0.7271  2 Ga 2.47

Calculated values
**DOS at the Fermi energy**: 4.57 states/eV/cell
**Formation enthalpy at 0 K**: -0.87 eV per atom
**Symmetry**: P4/mmm (123)
**Total magnetic moment**: 0.00 μB/f.u.
**DFT total energy**: -6.119 eV per atom

For reference, calculated volume by record: 77.32; 106.13; 159.47 Å³ per cell.